# RbPbIN2, relaxed, DFT GGA-PBE
# Energy above the lowest structure with this stoichiometry = 0 meV per atom
# Formation energy (no corrections) = 0.96 eV/atom
# Fermi-level density of states = 0.389 states/eV per atom
data_RbPbIN2
_space_group_name_H-M_alt 'P 4/m m m'
_space_group_IT_number 123
_space_group_name_Hall '-P 4 2'
_cell_length_a 4.8339
_cell_length_b 4.8339
_cell_length_c 6.4921
_cell_angle_alpha 90.00
_cell_angle_beta 90.00
_cell_angle_gamma 90.00
loop_
_atom_site_label
_atom_site_fract_x
_atom_site_fract_y
_atom_site_fract_z
_atom_site_occupancy
Rb1 0.0000 0.0000 0.0000 1
Pb1 0.5000 0.5000 0.5000 1
I1 0.5000 0.5000 0.0000 1
N1 0.0000 0.5000 0.5000 1